Entry from the Alexandria database: a geometry-optimized EuTmNiAg structure (PBE).

Lattice parameters (Å, degrees): 7.1128 7.1128 7.1128 90.00 90.00 90.00
Space group F-43m (No. 216)
Inequivalent atoms, fractional coordinates:
Eu  0.0000  0.0000  0.0000 x4
Tm  0.0000  0.0000  0.5000 x4
Ni  0.2500  0.2500  0.7500 x4
Ag  0.2500  0.2500  0.2500 x4

calculated formation energy: -0.19 eV per atom
DOS(E_F): 7.88 states/eV/f.u.